Computed, not measured: a geometry-optimized PrFe5P3 structure at the PBE level of DFT.

Unit cell a=6.243 b=6.243 c=10.883 alpha=90.00 beta=90.00 gamma=145.10
Fractional coordinates of all 18 atoms:
Pr: 0.176 0.824 0.750
Pr: 0.824 0.176 0.250
Fe: 0.000 0.000 0.000
Fe: 0.000 0.000 0.500
Fe: 0.189 0.811 0.062
Fe: 0.189 0.811 0.438
Fe: 0.460 0.540 0.640
Fe: 0.460 0.540 0.860
Fe: 0.540 0.460 0.140
Fe: 0.540 0.460 0.360
Fe: 0.811 0.189 0.562
Fe: 0.811 0.189 0.938
P: 0.105 0.895 0.250
P: 0.370 0.630 0.041
P: 0.370 0.630 0.459
P: 0.630 0.370 0.541
P: 0.630 0.370 0.959
P: 0.895 0.105 0.750

- uncorrected energy (eV per formula unit) = -69.3
- spin magnetization (μB/cell) = 10.8
- energy of formation (meV per atom) = -663